No. 1
Computed, not measured: Rb2PmTlBr6 after structural relaxation at the GGA-PBE level of DFT.

Calculated values
N(E_F) = 0.0 states/eV/cell
ΔE_f (raw) = -16.60 eV per formula unit

Cell and atoms, written as CIF:
```
data_Rb2PmTlBr6
_chemical_formula_sum 'Rb4 Pm2 Tl2 Br12'
_space_group_name_H-M_alt 'P 1 21/c 1'
_space_group_IT_number 14
_cell_length_a 8.1139
_cell_length_b 8.6510
_cell_length_c 14.1323
_cell_angle_alpha 90.00
_cell_angle_beta 124.16
_cell_angle_gamma 90.00
loop_
_space_group_symop_operation_xyz
'x,y,z'
'-x,-y,-z'
'-x,y+1/2,-z+1/2'
'x,-y+1/2,z+1/2'
loop_
_atom_site_label
_atom_site_type_symbol
_atom_site_fract_x
_atom_site_fract_y
_atom_site_fract_z
_atom_site_occupancy
Rb1 Rb 0.2175 0.0779 0.2470 1
Pm1 Pm 0.5000 0.0000 0.0000 1
Tl1 Tl 0.0000 0.0000 0.5000 1
Br1 Br 0.1569 0.1794 0.9453 1
Br2 Br 0.2635 0.7201 0.9340 1
Br3 Br 0.3882 0.0436 0.7685 1
```

No. 2
Computed, not measured: SrYTm2 after structural relaxation at the GGA-PBE level of DFT.

Calculated values
ΔH_f (0 K) = 0.25 eV per atom
N(E_F) = 16.2 states/eV/cell
energy relative to the lowest polymorph listed for this composition = 100 meV per atom

Cell and atoms, written as CIF:
```
data_SrYTm2
_chemical_formula_sum 'Sr3 Y3 Tm6'
_space_group_name_H-M_alt 'R -3 m'
_space_group_IT_number 166
_space_group_name_Hall '-R 3 2"'
_cell_length_a 3.5819
_cell_length_b 3.5819
_cell_length_c 38.0301
_cell_angle_alpha 90.00
_cell_angle_beta 90.00
_cell_angle_gamma 120.00
loop_
_atom_site_label
_atom_site_type_symbol
_atom_site_fract_x
_atom_site_fract_y
_atom_site_fract_z
_atom_site_occupancy
Sr1 Sr 0.0000 0.0000 0.0000 1
Y1 Y 0.0000 0.0000 0.5000 1
Tm1 Tm 0.0000 0.0000 0.0930 1
```

No. 3
Computed, not measured: Na3Ac3SnSe8 after structural relaxation at the GGA-PBE level of DFT.

Calculated values
ΔE_f (raw) = -21.20 eV per formula unit

Cell and atoms, written as CIF:
```
data_Na3Ac3SnSe8
_chemical_formula_sum 'Na9 Ac9 Sn3 Se24'
_space_group_name_H-M_alt 'R -3 m'
_space_group_IT_number 166
_space_group_name_Hall '-R 3 2"'
_cell_length_a 8.8613
_cell_length_b 8.8613
_cell_length_c 21.0910
_cell_angle_alpha 90.00
_cell_angle_beta 90.00
_cell_angle_gamma 120.00
loop_
_atom_site_label
_atom_site_type_symbol
_atom_site_fract_x
_atom_site_fract_y
_atom_site_fract_z
_atom_site_occupancy
Na1 Na 0.0000 0.5000 0.0000 1
Ac1 Ac 0.0000 0.5000 0.5000 1
Sn1 Sn 0.0000 0.0000 0.5000 1
Se1 Se 0.0000 0.0000 0.2479 1
Se2 Se 0.0347 0.5173 0.2431 1
```